# ZrBiOs3, relaxed, DFT PBE-GGA
# **DOS at the Fermi energy**: 4.1 states/eV/f.u.
# **Energy of formation**: 2.357 eV per atom
# **Uncorrected energy**: -34.3 eV for the cell shown
# **Energy above the lowest structure with this stoichiometry**: 217 meV/atom
# **Symmetry**: Pm-3m (221)
data_ZrBiOs3
_cell_length_a 4.8749
_cell_length_b 4.8749
_cell_length_c 4.8749
_cell_angle_alpha 90.00
_cell_angle_beta 90.00
_cell_angle_gamma 90.00
_space_group_name_H-M_alt 'P 1'
_space_group_IT_number 1
loop_
_space_group_symop_operation_xyz
'x,y,z'
loop_
_atom_site_label
_atom_site_type_symbol
_atom_site_fract_x
_atom_site_fract_y
_atom_site_fract_z
Zr1 Zr 0.0000 0.0000 0.0000
Bi1 Bi 0.5000 0.5000 0.5000
Os1 Os 0.0000 0.5000 0.5000
Os2 Os 0.5000 0.0000 0.5000
Os3 Os 0.5000 0.5000 0.0000



# TlRe2Pb2, relaxed, DFT PBE-GGA
# **DOS at the Fermi energy**: 4.0 states/eV/f.u.
# **Energy of formation**: 0.916 eV per atom
# **Uncorrected energy**: -60.2 eV for the cell shown
# **Energy above the lowest structure with this stoichiometry**: 0 meV/atom
# **Symmetry**: P4/mbm (127)
data_TlRe2Pb2
_cell_length_a 7.0494
_cell_length_b 7.0494
_cell_length_c 4.6196
_cell_angle_alpha 90.00
_cell_angle_beta 90.00
_cell_angle_gamma 90.00
_space_group_name_H-M_alt 'P 1'
_space_group_IT_number 1
loop_
_space_group_symop_operation_xyz
'x,y,z'
loop_
_atom_site_label
_atom_site_type_symbol
_atom_site_fract_x
_atom_site_fract_y
_atom_site_fract_z
Tl1 Tl 0.0000 0.0000 0.0000
Tl2 Tl 0.5000 0.5000 0.0000
Re1 Re 0.1179 0.3821 0.0000
Re2 Re 0.3821 0.8821 0.0000
Re3 Re 0.6179 0.1179 0.0000
Re4 Re 0.8821 0.6179 0.0000
Pb1 Pb 0.1722 0.6722 0.5000
Pb2 Pb 0.3278 0.1722 0.5000
Pb3 Pb 0.6722 0.8278 0.5000
Pb4 Pb 0.8278 0.3278 0.5000



# Hf4ZrIn, relaxed, DFT PBE-GGA
# **DOS at the Fermi energy**: 9.3 states/eV/f.u.
# **Energy of formation**: 0.043 eV per atom
# **Uncorrected energy**: -50.8 eV for the cell shown
# **Energy above the lowest structure with this stoichiometry**: 85 meV/atom
# **Symmetry**: C2/m (12)
data_Hf4ZrIn
_cell_length_a 5.5466
_cell_length_b 5.5466
_cell_length_c 6.1725
_cell_angle_alpha 118.05
_cell_angle_beta 118.05
_cell_angle_gamma 56.94
_space_group_name_H-M_alt 'P 1'
_space_group_IT_number 1
loop_
_space_group_symop_operation_xyz
'x,y,z'
loop_
_atom_site_label
_atom_site_type_symbol
_atom_site_fract_x
_atom_site_fract_y
_atom_site_fract_z
Hf1 Hf 0.1606 0.1606 0.0093
Hf2 Hf 0.1622 0.1622 0.5090
Hf3 Hf 0.8378 0.8378 0.4910
Hf4 Hf 0.8394 0.8394 0.9907
Zr1 Zr 0.5000 0.5000 0.5000
In1 In 0.5000 0.5000 0.0000



# GeAs2PbBr, relaxed, DFT PBE-GGA
# **DOS at the Fermi energy**: 5.1 states/eV/f.u.
# **Uncorrected energy**: -17.7 eV for the cell shown
# **Energy above the lowest structure with this stoichiometry**: 0 meV/atom
# **Symmetry**: P4/mmm (123)
data_GeAs2PbBr
_cell_length_a 5.0203
_cell_length_b 5.0203
_cell_length_c 5.4019
_cell_angle_alpha 90.00
_cell_angle_beta 90.00
_cell_angle_gamma 90.00
_space_group_name_H-M_alt 'P 1'
_space_group_IT_number 1
loop_
_space_group_symop_operation_xyz
'x,y,z'
loop_
_atom_site_label
_atom_site_type_symbol
_atom_site_fract_x
_atom_site_fract_y
_atom_site_fract_z
Ge1 Ge 0.0000 0.0000 0.0000
As1 As 0.0000 0.5000 0.0000
As2 As 0.5000 0.0000 0.0000
Pb1 Pb 0.5000 0.5000 0.5000
Br1 Br 0.0000 0.0000 0.5000



# Na4LaO4, relaxed, DFT PBE-GGA
# **DOS at the Fermi energy**: 6.3 states/eV/f.u.
# **Uncorrected energy**: -45.9 eV for the cell shown
# **Symmetry**: C2/m (12)
data_Na4LaO4
_cell_length_a 6.1097
_cell_length_b 6.1097
_cell_length_c 8.4014
_cell_angle_alpha 120.11
_cell_angle_beta 120.11
_cell_angle_gamma 34.34
_space_group_name_H-M_alt 'P 1'
_space_group_IT_number 1
loop_
_space_group_symop_operation_xyz
'x,y,z'
loop_
_atom_site_label
_atom_site_type_symbol
_atom_site_fract_x
_atom_site_fract_y
_atom_site_fract_z
Na1 Na 0.1322 0.1322 0.3936
Na2 Na 0.2952 0.2952 0.1792
Na3 Na 0.7048 0.7048 0.8208
Na4 Na 0.8678 0.8678 0.6064
La1 La 0.5000 0.5000 0.0000
O1 O 0.0791 0.0791 0.8853
O2 O 0.2941 0.2941 0.7114
O3 O 0.7059 0.7059 0.2886
O4 O 0.9209 0.9209 0.1147



# Na5Tl2Cd2Hg, relaxed, DFT PBE-GGA
# **DOS at the Fermi energy**: 3.3 states/eV/f.u.
# **Energy of formation**: -0.060 eV per atom
# **Uncorrected energy**: -28.1 eV for the cell shown
# **Symmetry**: P4/mbm (127)
data_Na5Tl2Cd2Hg
_cell_length_a 11.3751
_cell_length_b 11.3751
_cell_length_c 4.4507
_cell_angle_alpha 90.00
_cell_angle_beta 90.00
_cell_angle_gamma 90.00
_space_group_name_H-M_alt 'P 1'
_space_group_IT_number 1
loop_
_space_group_symop_operation_xyz
'x,y,z'
loop_
_atom_site_label
_atom_site_type_symbol
_atom_site_fract_x
_atom_site_fract_y
_atom_site_fract_z
Na1 Na 0.0000 0.5000 0.0000
Na2 Na 0.1250 0.1616 0.0000
Na3 Na 0.1616 0.8750 0.0000
Na4 Na 0.3384 0.3750 0.0000
Na5 Na 0.3750 0.6616 0.0000
Na6 Na 0.5000 0.0000 0.0000
Na7 Na 0.6250 0.3384 0.0000
Na8 Na 0.6616 0.6250 0.0000
Na9 Na 0.8384 0.1250 0.0000
Na10 Na 0.8750 0.8384 0.0000
Tl1 Tl 0.1506 0.6506 0.5000
Tl2 Tl 0.3494 0.1506 0.5000
Tl3 Tl 0.6506 0.8494 0.5000
Tl4 Tl 0.8494 0.3494 0.5000
Cd1 Cd 0.1386 0.3614 0.5000
Cd2 Cd 0.3614 0.8614 0.5000
Cd3 Cd 0.6386 0.1386 0.5000
Cd4 Cd 0.8614 0.6386 0.5000
Hg1 Hg 0.0000 0.0000 0.5000
Hg2 Hg 0.5000 0.5000 0.5000



# DyTlNi, relaxed, DFT PBE-GGA
# **DOS at the Fermi energy**: 2.5 states/eV/f.u.
# **Energy of formation**: -0.359 eV per atom
# **Uncorrected energy**: -83.0 eV for the cell shown
# **Symmetry**: Pmma (51)
data_DyTlNi
_cell_length_a 13.2831
_cell_length_b 3.7028
_cell_length_c 7.6914
_cell_angle_alpha 90.00
_cell_angle_beta 90.00
_cell_angle_gamma 90.00
_space_group_name_H-M_alt 'P 1'
_space_group_IT_number 1
loop_
_space_group_symop_operation_xyz
'x,y,z'
loop_
_atom_site_label
_atom_site_type_symbol
_atom_site_fract_x
_atom_site_fract_y
_atom_site_fract_z
Dy1 Dy 0.0466 0.0000 0.2180
Dy2 Dy 0.2500 0.0000 0.8500
Dy3 Dy 0.4534 0.0000 0.2180
Dy4 Dy 0.5466 0.0000 0.7820
Dy5 Dy 0.7500 0.0000 0.1500
Dy6 Dy 0.9534 0.0000 0.7820
Tl1 Tl 0.1175 0.5000 0.5766
Tl2 Tl 0.2500 0.5000 0.1865
Tl3 Tl 0.3825 0.5000 0.5766
Tl4 Tl 0.6175 0.5000 0.4234
Tl5 Tl 0.7500 0.5000 0.8135
Tl6 Tl 0.8825 0.5000 0.4234
Ni1 Ni 0.0885 0.5000 0.9434
Ni2 Ni 0.2500 0.0000 0.4479
Ni3 Ni 0.4115 0.5000 0.9434
Ni4 Ni 0.5885 0.5000 0.0566
Ni5 Ni 0.7500 0.0000 0.5521
Ni6 Ni 0.9115 0.5000 0.0566



# Hf3NbV8, relaxed, DFT PBE-GGA
# **DOS at the Fermi energy**: 21.2 states/eV/f.u.
# **Energy of formation**: -0.015 eV per atom
# **Uncorrected energy**: -113.1 eV for the cell shown
# **Energy above the lowest structure with this stoichiometry**: 0 meV/atom
# **Symmetry**: P3m1 (156)
data_Hf3NbV8
_cell_length_a 5.1733
_cell_length_b 5.1733
_cell_length_c 8.2844
_cell_angle_alpha 90.00
_cell_angle_beta 90.00
_cell_angle_gamma 120.00
_space_group_name_H-M_alt 'P 1'
_space_group_IT_number 1
loop_
_space_group_symop_operation_xyz
'x,y,z'
loop_
_atom_site_label
_atom_site_type_symbol
_atom_site_fract_x
_atom_site_fract_y
_atom_site_fract_z
Hf1 Hf 0.0000 0.0000 0.0000
Hf2 Hf 0.0000 0.0000 0.3757
Hf3 Hf 0.3333 0.6667 0.8702
Nb1 Nb 0.3333 0.6667 0.4993
V1 V 0.0074 0.5037 0.1901
V2 V 0.3268 0.1634 0.6840
V3 V 0.4963 0.5037 0.1901
V4 V 0.4963 0.9926 0.1901
V5 V 0.6667 0.3333 0.4375
V6 V 0.6667 0.3333 0.9364
V7 V 0.8366 0.1634 0.6840
V8 V 0.8366 0.6732 0.6840



# PmPrErZn, relaxed, DFT PBE-GGA
# **DOS at the Fermi energy**: 4.8 states/eV/f.u.
# **Energy of formation**: -0.157 eV per atom
# **Uncorrected energy**: -16.0 eV for the cell shown
# **Energy above the lowest structure with this stoichiometry**: 0 meV/atom
# **Symmetry**: P4mm (99)
data_PmPrErZn
_cell_length_a 3.6238
_cell_length_b 3.6238
_cell_length_c 8.7834
_cell_angle_alpha 90.00
_cell_angle_beta 90.00
_cell_angle_gamma 90.00
_space_group_name_H-M_alt 'P 1'
_space_group_IT_number 1
loop_
_space_group_symop_operation_xyz
'x,y,z'
loop_
_atom_site_label
_atom_site_type_symbol
_atom_site_fract_x
_atom_site_fract_y
_atom_site_fract_z
Pm1 Pm 0.0000 0.0000 0.0000
Pr1 Pr 0.5000 0.5000 0.3044
Er1 Er 0.0000 0.0000 0.5952
Zn1 Zn 0.5000 0.5000 0.7828



# K5Rb2TlHg2, relaxed, DFT PBE-GGA
# **DOS at the Fermi energy**: 5.2 states/eV/f.u.
# **Energy of formation**: -0.104 eV per atom
# **Uncorrected energy**: -22.9 eV for the cell shown
# **Symmetry**: P4/mbm (127)
data_K5Rb2TlHg2
_cell_length_a 14.5942
_cell_length_b 14.5942
_cell_length_c 4.8718
_cell_angle_alpha 90.00
_cell_angle_beta 90.00
_cell_angle_gamma 90.00
_space_group_name_H-M_alt 'P 1'
_space_group_IT_number 1
loop_
_space_group_symop_operation_xyz
'x,y,z'
loop_
_atom_site_label
_atom_site_type_symbol
_atom_site_fract_x
_atom_site_fract_y
_atom_site_fract_z
K1 K 0.0000 0.5000 0.0000
K2 K 0.0623 0.1956 0.0000
K3 K 0.1956 0.9377 0.0000
K4 K 0.3044 0.4377 0.0000
K5 K 0.4377 0.6956 0.0000
K6 K 0.5000 0.0000 0.0000
K7 K 0.5623 0.3044 0.0000
K8 K 0.6956 0.5623 0.0000
K9 K 0.8044 0.0623 0.0000
K10 K 0.9377 0.8044 0.0000
Rb1 Rb 0.1770 0.6770 0.5000
Rb2 Rb 0.3230 0.1770 0.5000
Rb3 Rb 0.6770 0.8230 0.5000
Rb4 Rb 0.8230 0.3230 0.5000
Tl1 Tl 0.0000 0.0000 0.5000
Tl2 Tl 0.5000 0.5000 0.5000
Hg1 Hg 0.1313 0.3687 0.5000
Hg2 Hg 0.3687 0.8687 0.5000
Hg3 Hg 0.6313 0.1313 0.5000
Hg4 Hg 0.8687 0.6313 0.5000